A plane-wave DFT calculation with PBE was carried out for a relaxed HfTiRu2 crystal.

The structure in CIF format:
```
data_HfTiRu2
_cell_length_a 4.480
_cell_length_b 4.480
_cell_length_c 3.168
_cell_angle_alpha 90.00
_cell_angle_beta 90.00
_cell_angle_gamma 90.00
_symmetry_space_group_name_H-M 'P 4/m m m'
_symmetry_Int_Tables_number 123
_symmetry_space_group_name_Hall '-P 4 2'
loop_
_atom_site_label
_atom_site_fract_x
_atom_site_fract_y
_atom_site_fract_z
Hf1 0.000 0.000 0.000
Ti1 0.500 0.500 0.000
Ru1 0.000 0.500 0.500
```

A plane-wave DFT calculation with PBE was carried out for a relaxed HfTiRu crystal.

The structure in CIF format:
```
data_HfTiRu
_cell_length_a 4.381
_cell_length_b 4.390
_cell_length_c 6.192
_cell_angle_alpha 90.00
_cell_angle_beta 90.00
_cell_angle_gamma 90.00
_symmetry_space_group_name_H-M 'I m m 2'
_symmetry_Int_Tables_number 44
loop_
_symmetry_equiv_pos_as_xyz
'x,y,z'
'-x,-y,z'
'-x,y,z'
'x,-y,z'
'x+1/2,y+1/2,z+1/2'
'-x+1/2,-y+1/2,z+1/2'
'-x+1/2,y+1/2,z+1/2'
'x+1/2,-y+1/2,z+1/2'
loop_
_atom_site_label
_atom_site_fract_x
_atom_site_fract_y
_atom_site_fract_z
Hf1 0.000 0.000 0.000
Ti1 0.000 0.000 0.500
Ru1 0.000 0.500 0.250
```

A plane-wave DFT calculation with PBE was carried out for a relaxed HfTiRu crystal.

The structure in CIF format:
```
data_HfTiRu
_cell_length_a 2.994
_cell_length_b 14.284
_cell_length_c 5.039
_cell_angle_alpha 90.00
_cell_angle_beta 90.00
_cell_angle_gamma 90.00
_symmetry_space_group_name_H-M 'C m c m'
_symmetry_Int_Tables_number 63
_symmetry_space_group_name_Hall '-C 2c 2'
loop_
_atom_site_label
_atom_site_fract_x
_atom_site_fract_y
_atom_site_fract_z
Hf1 0.000 0.177 0.250
Ti1 0.000 0.500 0.000
Ru1 0.000 0.353 0.250
```

A plane-wave DFT calculation with PBE was carried out for a relaxed HfTiRu crystal.

The structure in CIF format:
```
data_HfTiRu
_cell_length_a 4.599
_cell_length_b 3.206
_cell_length_c 13.855
_cell_angle_alpha 90.00
_cell_angle_beta 90.00
_cell_angle_gamma 90.00
_symmetry_space_group_name_H-M 'A m m 2'
_symmetry_Int_Tables_number 38
loop_
_symmetry_equiv_pos_as_xyz
'x,y,z'
'-x,-y,z'
'-x,y,z'
'x,-y,z'
'x,y+1/2,z+1/2'
'-x,-y+1/2,z+1/2'
'-x,y+1/2,z+1/2'
'x,-y+1/2,z+1/2'
loop_
_atom_site_label
_atom_site_fract_x
_atom_site_fract_y
_atom_site_fract_z
Hf1 0.000 0.000 0.000
Hf2 0.000 0.000 0.312
Ti1 0.500 0.000 0.157
Ti2 0.500 0.000 0.841
Ru1 0.000 0.000 0.658
Ru2 0.500 0.000 0.498
```

no.,M_tot (μB per atom),calculated total energy (eV/atom)
1,0.000,-9.85
2,0.000,-9.23
3,0.000,-9.19
4,0.000,-9.53